# Ag3PdC

An optimized crystal structure of Ag3PdC (PBE-GGA, the Alexandria database).

a b c (Å): 4.2816 4.2816 4.2816
angles (deg): 90.00 90.00 90.00
Fractional positions:
Ag: 0.0000 0.0000 0.5000
Ag: 0.0000 0.5000 0.0000
Ag: 0.5000 0.0000 0.0000
Pd: 0.5000 0.5000 0.5000
C: 0.0000 0.0000 0.0000

Its space group is No. 221. Its formation energy is 67.3 kJ per mole of atoms.

# Ag3PdC

An optimized crystal structure of Ag3PdC (PBE-GGA, the Alexandria database).

a b c (Å): 5.1080 5.1080 5.1080
angles (deg): 90.00 90.00 90.00
Fractional positions:
Ag: 0.0000 0.0000 0.5000
Ag: 0.0000 0.5000 0.0000
Ag: 0.5000 0.0000 0.0000
Pd: 0.0000 0.0000 0.0000
C: 0.5000 0.5000 0.5000

Its space group is No. 221. Its formation energy is 199.3 kJ per mole of atoms.

# AgPdCS2

An optimized crystal structure of AgPdCS2 (PBE-GGA, the Alexandria database).

a b c (Å): 4.9685 4.9685 3.7691
angles (deg): 90.00 90.00 90.00
Fractional positions:
Ag: 0.0000 0.0000 0.0000
Pd: 0.5000 0.5000 0.5000
C: 0.5000 0.5000 0.0000
S: 0.0000 0.5000 0.5000
S: 0.5000 0.0000 0.5000

Its space group is No. 123. The formation energy from raw total energies is 1.094 eV per atom.

# ScAg2PdC

An optimized crystal structure of ScAg2PdC (PBE-GGA, the Alexandria database).

a b c (Å): 5.1379 5.1379 3.7834
angles (deg): 90.00 90.00 90.00
Fractional positions:
Sc: 0.0000 0.0000 0.0000
Ag: 0.0000 0.5000 0.5000
Ag: 0.5000 0.0000 0.5000
Pd: 0.5000 0.5000 0.5000
C: 0.5000 0.5000 0.0000

Its space group is No. 123. Its formation energy is 74.3 kJ per mole of atoms.

# Pm2AgC

An optimized crystal structure of Pm2AgC (PBE-GGA, the Alexandria database).

a b c (Å): 3.3360 3.3360 7.3276
angles (deg): 90.00 90.00 90.00
Fractional positions:
Pm: 0.0000 0.0000 0.1940
Pm: 0.0000 0.0000 0.8060
Ag: 0.5000 0.5000 0.5000
C: 0.5000 0.5000 0.0000

Its space group is No. 123. Its formation energy is 15.1 kJ per mole of atoms.

# Pm12Ag3C5

An optimized crystal structure of Pm12Ag3C5 (PBE-GGA, the Alexandria database).

a b c (Å): 14.0306 14.0306 14.0306
angles (deg): 109.47 109.47 109.47
Fractional positions:
Pm: 0.0198 0.2016 0.1144
Pm: 0.0198 0.3183 0.9054
Pm: 0.0871 0.7016 0.6817
Pm: 0.0871 0.8856 0.4054
Pm: 0.0946 0.6144 0.4129
Pm: 0.0946 0.9802 0.6817
Pm: 0.1144 0.0198 0.2016
Pm: 0.1144 0.5946 0.9129
Pm: 0.1817 0.2016 0.5871
Pm: 0.1817 0.4802 0.5946
Pm: 0.2016 0.1144 0.0198
Pm: 0.2016 0.5871 0.1817
Pm: 0.2984 0.3183 0.9129
Pm: 0.2984 0.4802 0.3856
Pm: 0.3183 0.9054 0.0198
Pm: 0.3183 0.9129 0.2984
Pm: 0.3856 0.2984 0.4802
Pm: 0.3856 0.5871 0.9054
Pm: 0.4054 0.0871 0.8856
Pm: 0.4054 0.8183 0.5198
Pm: 0.4129 0.0946 0.6144
Pm: 0.4129 0.8183 0.7984
Pm: 0.4802 0.3856 0.2984
Pm: 0.4802 0.5946 0.1817
Pm: 0.5198 0.4054 0.8183
Pm: 0.5198 0.6144 0.7016
Pm: 0.5871 0.1817 0.2016
Pm: 0.5871 0.9054 0.3856
Pm: 0.5946 0.1817 0.4802
Pm: 0.5946 0.9129 0.1144
Pm: 0.6144 0.4129 0.0946
Pm: 0.6144 0.7016 0.5198
Pm: 0.6817 0.0871 0.7016
Pm: 0.6817 0.0946 0.9802
Pm: 0.7016 0.5198 0.6144
Pm: 0.7016 0.6817 0.0871
Pm: 0.7984 0.4129 0.8183
Pm: 0.7984 0.8856 0.9802
Pm: 0.8183 0.5198 0.4054
Pm: 0.8183 0.7984 0.4129
Pm: 0.8856 0.4054 0.0871
Pm: 0.8856 0.9802 0.7984
Pm: 0.9054 0.0198 0.3183
Pm: 0.9054 0.3856 0.5871
Pm: 0.9129 0.1144 0.5946
Pm: 0.9129 0.2984 0.3183
Pm: 0.9802 0.6817 0.0946
Pm: 0.9802 0.7984 0.8856
Ag: 0.1250 0.2500 0.3750
Ag: 0.1250 0.3750 0.7500
Ag: 0.2500 0.3750 0.1250
Ag: 0.2500 0.8750 0.6250
Ag: 0.3750 0.1250 0.2500
Ag: 0.3750 0.7500 0.1250
Ag: 0.6250 0.2500 0.8750
Ag: 0.6250 0.8750 0.7500
Ag: 0.7500 0.1250 0.3750
Ag: 0.7500 0.6250 0.8750
Ag: 0.8750 0.6250 0.2500
Ag: 0.8750 0.7500 0.6250
C: 0.0000 0.0000 0.0000
C: 0.0000 0.0000 0.5000
C: 0.0000 0.5000 0.0000
C: 0.0000 0.5000 0.5000
C: 0.1250 0.7500 0.8750
C: 0.1250 0.8750 0.2500
C: 0.2500 0.1250 0.8750
C: 0.2500 0.6250 0.3750
C: 0.3750 0.2500 0.6250
C: 0.3750 0.6250 0.7500
C: 0.5000 0.0000 0.0000
C: 0.5000 0.0000 0.5000
C: 0.5000 0.5000 0.0000
C: 0.5000 0.5000 0.5000
C: 0.6250 0.3750 0.2500
C: 0.6250 0.7500 0.3750
C: 0.7500 0.3750 0.6250
C: 0.7500 0.8750 0.1250
C: 0.8750 0.1250 0.7500
C: 0.8750 0.2500 0.1250

Its space group is No. 230. Its formation energy is 2.4 kJ per mole of atoms.

# Pm2AgC

An optimized crystal structure of Pm2AgC (PBE-GGA, the Alexandria database).

a b c (Å): 6.4339 3.7415 8.0905
angles (deg): 90.00 106.85 90.00
Fractional positions:
Pm: 0.0131 0.2500 0.3124
Pm: 0.4794 0.2500 0.6742
Pm: 0.5206 0.7500 0.3258
Pm: 0.9869 0.7500 0.6876
Ag: 0.3124 0.2500 0.0024
Ag: 0.6876 0.7500 0.9976
C: 0.2415 0.7500 0.4948
C: 0.7585 0.2500 0.5052

Its space group is No. 11. Its formation energy is -13.7 kJ per mole of atoms.

# Pm3AgC

An optimized crystal structure of Pm3AgC (PBE-GGA, the Alexandria database).

a b c (Å): 5.0542 5.0542 5.0542
angles (deg): 90.00 90.00 90.00
Fractional positions:
Pm: 0.0000 0.0000 0.5000
Pm: 0.0000 0.5000 0.0000
Pm: 0.5000 0.0000 0.0000
Ag: 0.5000 0.5000 0.5000
C: 0.0000 0.0000 0.0000

Its space group is No. 221. Its formation energy is -7.0 kJ per mole of atoms.

# Pm8AgC4

An optimized crystal structure of Pm8AgC4 (PBE-GGA, the Alexandria database).

a b c (Å): 9.3354 9.3354 12.8887
angles (deg): 133.44 133.44 22.95
Fractional positions:
Pm: 0.0459 0.0459 0.2088
Pm: 0.3143 0.3143 0.4622
Pm: 0.3453 0.3453 0.8907
Pm: 0.3488 0.3488 0.1667
Pm: 0.6512 0.6512 0.8333
Pm: 0.6547 0.6547 0.1093
Pm: 0.6857 0.6857 0.5378
Pm: 0.9541 0.9541 0.7912
Ag: 0.0000 0.0000 0.5000
C: 0.1549 0.1549 0.9729
C: 0.3199 0.3199 0.6634
C: 0.6801 0.6801 0.3366
C: 0.8451 0.8451 0.0271

Its space group is No. 12. Its formation energy is -8.4 kJ per mole of atoms.

# Pm2AgC

An optimized crystal structure of Pm2AgC (PBE-GGA, the Alexandria database).

a b c (Å): 7.9373 7.9373 7.9373
angles (deg): 27.20 27.20 27.20
Fractional positions:
Pm: 0.0000 0.0000 0.0000
Pm: 0.2111 0.2111 0.2111
Ag: 0.7723 0.7723 0.7723
C: 0.6061 0.6061 0.6061

Its space group is No. 160. Its formation energy is -14.8 kJ per mole of atoms.

# Pm3AgC

An optimized crystal structure of Pm3AgC (PBE-GGA, the Alexandria database).

a b c (Å): 7.0023 7.0023 10.4747
angles (deg): 105.40 105.40 31.09
Fractional positions:
Pm: 0.1261 0.1261 0.1912
Pm: 0.1665 0.1665 0.6088
Pm: 0.3553 0.3553 0.1001
Pm: 0.6447 0.6447 0.8999
Pm: 0.8335 0.8335 0.3912
Pm: 0.8739 0.8739 0.8088
Ag: 0.4603 0.4603 0.6168
Ag: 0.5397 0.5397 0.3832
C: 0.2585 0.2585 0.8514
C: 0.7415 0.7415 0.1486

Its space group is No. 12. Its formation energy is -16.7 kJ per mole of atoms.

# Pm2AgC

An optimized crystal structure of Pm2AgC (PBE-GGA, the Alexandria database).

a b c (Å): 8.0257 8.0257 8.0257
angles (deg): 26.79 26.79 26.79
Fractional positions:
Pm: 0.2272 0.2272 0.2272
Pm: 0.7728 0.7728 0.7728
Ag: 0.0000 0.0000 0.0000
C: 0.5000 0.5000 0.5000

Its space group is No. 166. Its formation energy is -13.4 kJ per mole of atoms.

| no. | uncorrected energy (Ry per atom) |
| --- | --- |
| 1 | -0.2864 |
| 2 | -0.1858 |
| 3 | -0.2948 |
| 4 | -0.3322 |
| 5 | -0.3850 |
| 6 | -0.4086 |
| 7 | -0.4069 |
| 8 | -0.3923 |
| 9 | -0.4460 |
| 10 | -0.4077 |
| 11 | -0.3997 |
| 12 | -0.4067 |